K2Co3RhF12 | GGA+U | relaxed

Calculated values
Total energy, eV per cell: -257.51
Spin magnetization, μB per formula unit: 10.16

Lattice parameters (Å, degrees): 7.3141 7.3141 18.1245 90.00 90.00 120.00
With the nearest neighbours (Å) after each atom.
Space group R-3m (No. 166, hexagonal axes)
Unique sites:
K1 0.0000 0.0000 0.1169 (multiplicity 6)  6 F 3.05-3.16
Co1 0.0000 0.5000 0.0000 (multiplicity 9)  6 F 1.98-2.04
Rh1 0.0000 0.0000 0.5000 (multiplicity 3)  6 F 2.00
F1 0.0619 0.5309 0.1102 (multiplicity 18)  1 Rh 2.00, 1 Co 2.04
F2 0.0687 0.5344 0.3581 (multiplicity 18)  2 Co 1.98